No. 1
The following is a DFT calculation (PBE) of a relaxed structure of LaHoAgPb.

Computed properties:
As for the symmetry: F-43m. As for the raw total energy: -4.422 eV per atom.

Cell: 5.4163 5.4163 5.4163 Å, 60.00 60.00 60.00°
With the nearest neighbours (Å) after each atom.
Element x y z (fractional)
Ho 0.0000 0.0000 0.0000  4 Ag 3.32, 4 Pb 3.32
Pb 0.7500 0.7500 0.7500  4 La 3.32, 4 Ho 3.32
Ag 0.2500 0.2500 0.2500  4 La 3.32, 4 Ho 3.32
La 0.5000 0.5000 0.5000  4 Pb 3.32, 4 Ag 3.32

---

No. 2
The following is a DFT calculation (PBE) of a relaxed structure of Ca2GaB2Pt5.

Computed properties:
As for the symmetry: P4/mbm. As for the raw total energy: -5.686 eV per atom.

Cell: 3.2668 9.6692 9.6692 Å, 90.00 90.00 90.00°
With the nearest neighbours (Å) after each atom.
Element x y z (fractional)
Pt 0.5000 0.9315 0.2202  2 B 2.29
Pt 0.5000 0.4315 0.2798  2 B 2.29
Pt 0.5000 0.2798 0.5685  2 B 2.29
Pt 0.5000 0.2202 0.0685  2 B 2.29
Pt 0.5000 0.5000 0.0000  4 B 2.34
Pt 0.5000 0.5685 0.7202  2 B 2.29
Pt 0.5000 0.7798 0.9315  2 B 2.29
Pt 0.5000 0.0685 0.7798  2 B 2.29
Pt 0.5000 0.0000 0.5000  4 B 2.34
Pt 0.5000 0.7202 0.4315  2 B 2.29
Ca 0.0000 0.3228 0.8228  3 B 2.74-2.95, 10 Pt 2.92-3.05
Ca 0.0000 0.6772 0.1772  3 B 2.74-2.95, 10 Pt 2.92-3.05
Ca 0.0000 0.1772 0.3228  3 B 2.74-2.95, 10 Pt 2.92-3.05
Ca 0.0000 0.8228 0.6772  3 B 2.74-2.95, 10 Pt 2.92-3.05
B 0.0000 0.3775 0.1225  6 Pt 2.29-2.34
B 0.0000 0.8775 0.3775  6 Pt 2.29-2.34
B 0.0000 0.1225 0.6225  6 Pt 2.29-2.34
B 0.0000 0.6225 0.8775  6 Pt 2.29-2.34
Ga 0.0000 0.0000 0.0000  8 Pt 2.76
Ga 0.0000 0.5000 0.5000  8 Pt 2.76

---

No. 3
The following is a DFT calculation (PBE) of a relaxed structure of BeReP2H.

Computed properties:
As for the symmetry: P4/mmm. As for the raw total energy: -5.579 eV per atom.

Cell: 4.1325 3.0772 4.1325 Å, 90.00 90.00 90.00°
With the nearest neighbours (Å) after each atom.
Element x y z (fractional)
H 0.0000 0.0000 0.0000  2 Be 1.54
Be 0.0000 0.5000 0.0000  2 H 1.54
P 0.5000 0.0000 0.0000  2 H 2.07
P 0.0000 0.0000 0.5000  2 H 2.07
Re 0.5000 0.5000 0.5000  8 P 2.58

---

No. 4
The following is a DFT calculation (PBE) of a relaxed structure of LiFe2Pb.

Computed properties:
As for the symmetry: Cmmm. As for the raw total energy: -5.147 eV per atom.

Cell: 4.9199 4.9199 2.9631 Å, 90.00 90.00 113.92°
With the nearest neighbours (Å) after each atom.
Element x y z (fractional)
Pb 0.0000 0.5000 0.5000  2 Li 2.68, 8 Fe 2.87, 2 Pb 2.96
Fe 0.5000 0.5000 0.0000  4 Fe 2.68-2.96, 4 Li 2.87, 4 Pb 2.87
Fe 0.0000 0.0000 0.0000  4 Fe 2.68-2.96, 4 Pb 2.87, 4 Li 2.87
Li 0.5000 0.0000 0.5000  2 Pb 2.68, 8 Fe 2.87, 2 Li 2.96

---

No. 5
The following is a DFT calculation (PBE) of a relaxed structure of CdHg2Br.

Computed properties:
The value obtained for the formation energy (no corrections) is -0.122 eV per atom. As for the symmetry: Cmmm. The energy above the most stable polymorph in this dataset is 73 meV per atom.

Cell: 3.7769 3.7769 8.3841 Å, 90.00 90.00 110.03°
With the nearest neighbours (Å) after each atom.
Element x y z (fractional)
Hg 0.0000 0.0000 0.5095  2 Cd 2.96, 2 Br 3.07
Hg 0.0000 0.0000 0.9905  2 Cd 2.96, 2 Br 3.07
Cd 0.5000 0.5000 0.7500  4 Hg 2.96
Br 0.5000 0.5000 0.2500  4 Hg 3.07

---

No. 6
The following is a DFT calculation (PBE) of a relaxed structure of CsTmGeSe3.

Computed properties:
The value obtained for the formation energy (no corrections) is -1.262 eV per atom. As for the symmetry: P2_1/m.

Cell: 4.0657 9.2323 11.5052 Å, 112.57 90.00 90.00°
With the nearest neighbours (Å) after each atom.
Element x y z (fractional)
Se 0.7500 0.4046 0.1002  3 Tm 2.80-2.82
Se 0.7500 0.3221 0.5850  2 Ge 2.66, 1 Tm 2.87
Se 0.2500 0.5954 0.8998  3 Tm 2.80-2.82
Se 0.7500 0.8713 0.2211  1 Ge 2.48
Se 0.2500 0.1287 0.7789  1 Ge 2.48
Se 0.2500 0.6779 0.4150  2 Ge 2.66, 1 Tm 2.87
Ge 0.7500 0.8729 0.4371  3 Se 2.48-2.66
Ge 0.2500 0.1271 0.5629  3 Se 2.48-2.66
Cs 0.7500 0.7677 0.7246  7 Se 3.63-3.90, 1 Ge 3.79, 2 Cs 4.07
Cs 0.2500 0.2323 0.2754  7 Se 3.63-3.90, 1 Ge 3.79, 2 Cs 4.07
Tm 0.2500 0.6322 0.1534  6 Se 2.80-2.88
Tm 0.7500 0.3678 0.8466  6 Se 2.80-2.88

---

No. 7
The following is a DFT calculation (PBE) of a relaxed structure of Pm2Dy7Y3.

Computed properties:
As for the symmetry: P2/m. The energy above the most stable polymorph in this dataset is 226 meV per atom.

Cell: 5.4854 6.1396 12.2603 Å, 91.43 90.00 90.00°
With the nearest neighbours (Å) after each atom.
Element x y z (fractional)
Dy 0.5000 0.7651 0.5446  2 Pm 3.11-3.39, 2 Dy 3.11-3.41
Dy 0.0000 0.4362 0.1768  2 Pm 3.15, 3 Dy 3.40-3.52, 2 Y 3.52
Dy 0.5000 0.2349 0.4554  2 Pm 3.11-3.39, 2 Dy 3.11-3.41
Dy 0.5000 0.9235 0.8315  2 Pm 3.31-3.41, 3 Y 3.36-3.58, 5 Dy 3.46-3.63
Dy 0.0000 0.5638 0.8232  2 Pm 3.15, 3 Dy 3.40-3.52, 2 Y 3.52
Dy 0.0000 0.0000 0.0000  6 Dy 3.40-3.46
Dy 0.5000 0.0765 0.1685  2 Pm 3.31-3.41, 3 Y 3.36-3.58, 5 Dy 3.46-3.63
Y 0.0000 0.9443 0.3429  8 Dy 3.53-3.87, 2 Pm 3.57, 1 Y 3.90
Y 0.0000 0.0557 0.6571  8 Dy 3.53-3.87, 2 Pm 3.57, 1 Y 3.90
Y 0.5000 0.5000 0.0000  6 Dy 3.36-3.52, 2 Pm 3.46
Pm 0.5000 0.5907 0.2797  6 Dy 3.11-3.41, 1 Y 3.46
Pm 0.5000 0.4093 0.7203  6 Dy 3.11-3.41, 1 Y 3.46

---

No. 8
The following is a DFT calculation (PBE) of a relaxed structure of CsYCuSn2.

Computed properties:
As for the symmetry: P4/mmm. As for the raw total energy: -3.565 eV per atom.

Cell: 5.2546 5.5735 5.2546 Å, 90.00 90.00 90.00°
With the nearest neighbours (Å) after each atom.
Element x y z (fractional)
Y 0.5000 0.5000 0.5000  4 Cs 3.72, 8 Sn 3.83
Cu 0.0000 0.0000 0.0000  4 Sn 2.63, 2 Cs 2.79
Sn 0.0000 0.0000 0.5000  2 Cu 2.63
Sn 0.5000 0.0000 0.0000  2 Cu 2.63
Cs 0.0000 0.5000 0.0000  2 Cu 2.79